(1)
{"formula": "AcH2", "functional": "GGA-PBE", "state": "optimized geometry", "lattice": [[-1.788, 1.788, 3.555], [1.788, -1.788, 3.555], [1.788, 1.788, -3.555]], "species": ["Ac", "H", "H"], "frac_coords": [[0.000, 0.000, 0.000], [0.353, 0.353, 0.000], [0.647, 0.647, 0.000]], "sg": "No. 139", "m_tot_mub_per_cell": 0.40, "e_above_lowest_polymorph_mev_per_atom": 268.2}

***

(2)
{"formula": "AcH2", "functional": "GGA-PBE", "state": "optimized geometry", "lattice": [[0.000, 3.639, 3.639], [3.639, 0.000, 3.639], [3.639, 3.639, 0.000]], "species": ["Ac", "Ac", "H", "H", "H", "H"], "frac_coords": [[0.125, 0.125, 0.125], [0.875, 0.875, 0.875], [0.000, 0.500, 0.500], [0.500, 0.000, 0.500], [0.500, 0.500, 0.000], [0.500, 0.500, 0.500]], "sg": "No. 227", "m_tot_mub_per_cell": 1.72, "e_above_lowest_polymorph_mev_per_atom": 1258.2}

***

(3)
{"formula": "Ac3H", "functional": "GGA-PBE", "state": "optimized geometry", "lattice": [[4.131, 0.000, 0.000], [0.000, 5.540, 0.000], [0.000, 0.000, 6.844]], "species": ["Ac", "Ac", "Ac", "H"], "frac_coords": [[0.000, 0.000, 0.000], [0.000, 0.500, 0.353], [0.500, 0.500, 0.803], [0.500, 0.000, 0.817]], "sg": "No. 25", "m_tot_mub_per_cell": 0.00, "e_above_lowest_polymorph_mev_per_atom": 216.0}

***

(4)
{"formula": "Ac8H", "functional": "GGA-PBE", "state": "optimized geometry", "lattice": [[8.087, 0.000, 0.000], [-4.043, 7.003, 0.000], [0.000, 0.000, 6.452]], "species": ["Ac", "Ac", "Ac", "Ac", "Ac", "Ac", "Ac", "Ac", "H"], "frac_coords": [[0.165, 0.330, 0.251], [0.165, 0.835, 0.251], [0.330, 0.165, 0.749], [0.333, 0.667, 0.743], [0.667, 0.333, 0.257], [0.670, 0.835, 0.251], [0.835, 0.165, 0.749], [0.835, 0.670, 0.749], [0.000, 0.000, 0.500]], "sg": "No. 164", "m_tot_mub_per_cell": 0.00}

***

(5)
{"formula": "Ac3H", "functional": "GGA-PBE", "state": "optimized geometry", "lattice": [[-1.886, 5.483, 3.263], [1.886, -5.483, 3.263], [1.886, 5.483, -3.263]], "species": ["Ac", "Ac", "Ac", "H"], "frac_coords": [[0.000, 0.000, 0.000], [0.292, 0.471, 0.822], [0.649, 0.471, 0.178], [0.313, 0.813, 0.500]], "sg": "No. 44", "m_tot_mub_per_cell": 0.00, "e_above_lowest_polymorph_mev_per_atom": 0.0}

***

(6)
{"formula": "Ac2H5", "functional": "GGA-PBE", "state": "optimized geometry", "lattice": [[-3.063, 6.087, 2.655], [3.063, -6.087, 2.655], [3.063, 6.087, -2.655]], "species": ["Ac", "Ac", "Ac", "Ac", "H", "H", "H", "H", "H", "H", "H", "H", "H", "H"], "frac_coords": [[0.121, 0.239, 0.360], [0.379, 0.739, 0.119], [0.621, 0.261, 0.881], [0.879, 0.761, 0.640], [0.004, 0.750, 0.254], [0.085, 0.832, 0.917], [0.250, 0.750, 0.500], [0.415, 0.332, 0.747], [0.496, 0.750, 0.746], [0.504, 0.250, 0.254], [0.585, 0.668, 0.253], [0.750, 0.250, 0.500], [0.915, 0.168, 0.083], [0.996, 0.250, 0.746]], "sg": "No. 72", "m_tot_mub_per_cell": 0.00}

***

(7)
{"formula": "Ac3H2", "functional": "GGA-PBE", "state": "optimized geometry", "lattice": [[3.504, 2.023, 6.281], [-3.504, 2.023, 6.281], [0.000, -4.046, 6.281]], "species": ["Ac", "Ac", "Ac", "Ac", "Ac", "Ac", "H", "H", "H", "H"], "frac_coords": [[0.082, 0.750, 0.418], [0.250, 0.582, 0.918], [0.418, 0.082, 0.750], [0.582, 0.918, 0.250], [0.750, 0.418, 0.082], [0.918, 0.250, 0.582], [0.167, 0.167, 0.167], [0.333, 0.333, 0.333], [0.667, 0.667, 0.667], [0.833, 0.833, 0.833]], "sg": "No. 167", "m_tot_mub_per_cell": 0.00}

***

(8)
{"formula": "AcH2", "functional": "GGA-PBE", "state": "optimized geometry", "lattice": [[0.000, 2.943, 2.943], [2.943, 0.000, 2.943], [2.943, 2.943, 0.000]], "species": ["Ac", "H", "H"], "frac_coords": [[0.000, 0.000, 0.000], [0.250, 0.250, 0.250], [0.750, 0.750, 0.750]], "sg": "No. 225", "m_tot_mub_per_cell": 0.00, "e_above_lowest_polymorph_mev_per_atom": 0.0}

***

(9)
{"formula": "AcH4", "functional": "GGA-PBE", "state": "optimized geometry", "lattice": [[4.769, 0.000, 0.000], [0.000, 4.769, 0.000], [0.000, 0.000, 4.769]], "species": ["Ac", "H", "H", "H", "H"], "frac_coords": [[0.000, 0.000, 0.000], [0.000, 0.000, 0.500], [0.000, 0.500, 0.000], [0.500, 0.000, 0.000], [0.500, 0.500, 0.500]], "sg": "No. 221", "m_tot_mub_per_cell": 1.01}

***

(10)
{"formula": "AcHfH", "functional": "GGA-PBE", "state": "optimized geometry", "lattice": [[3.491, 0.000, 0.000], [-1.746, 3.023, 0.000], [0.000, 0.000, 12.141]], "species": ["Ac", "Ac", "Hf", "Hf", "H", "H"], "frac_coords": [[0.000, 0.000, 0.150], [0.000, 0.000, 0.850], [0.333, 0.667, 0.382], [0.333, 0.667, 0.618], [0.000, 0.000, 0.500], [0.333, 0.667, 0.000]], "sg": "No. 187", "m_tot_mub_per_cell": 0.00}

***

(11)
{"formula": "Ac2HfH", "functional": "GGA-PBE", "state": "optimized geometry", "lattice": [[1.773, 1.023, 9.881], [-1.773, 1.023, 9.881], [0.000, -2.047, 9.881]], "species": ["Ac", "Ac", "Hf", "H"], "frac_coords": [[0.110, 0.110, 0.110], [0.890, 0.890, 0.890], [0.000, 0.000, 0.000], [0.500, 0.500, 0.500]], "sg": "No. 166", "m_tot_mub_per_cell": 0.00}

***

(12)
{"formula": "AcHf2H8", "functional": "GGA-PBE", "state": "optimized geometry", "lattice": [[3.051, -4.733, 0.000], [3.051, 4.733, 0.000], [-0.182, 0.000, 3.801]], "species": ["Ac", "Hf", "Hf", "H", "H", "H", "H", "H", "H", "H", "H"], "frac_coords": [[0.000, 0.000, 0.000], [0.334, 0.666, 0.500], [0.666, 0.334, 0.500], [0.024, 0.318, 0.516], [0.266, 0.734, 0.000], [0.318, 0.024, 0.516], [0.405, 0.405, 0.231], [0.595, 0.595, 0.769], [0.682, 0.976, 0.484], [0.734, 0.266, 0.000], [0.976, 0.682, 0.484]], "sg": "No. 12", "m_tot_mub_per_cell": 0.00}

***

(13)
{"formula": "AcHf2H", "functional": "GGA-PBE", "state": "optimized geometry", "lattice": [[1.677, 0.968, 8.923], [-1.677, 0.968, 8.923], [0.000, -1.937, 8.923]], "species": ["Ac", "Hf", "Hf", "H"], "frac_coords": [[0.000, 0.000, 0.000], [0.122, 0.122, 0.122], [0.878, 0.878, 0.878], [0.500, 0.500, 0.500]], "sg": "No. 166", "m_tot_mub_per_cell": 0.00}

***

(14)
{"formula": "Ac2HfH8", "functional": "GGA-PBE", "state": "optimized geometry", "lattice": [[-1.934, 2.421, 7.201], [1.934, -2.421, 7.201], [1.934, 2.421, -7.201]], "species": ["Ac", "Ac", "Hf", "H", "H", "H", "H", "H", "H", "H", "H"], "frac_coords": [[0.151, 0.151, 0.000], [0.849, 0.849, 0.000], [0.500, 0.500, 0.000], [0.159, 0.387, 0.772], [0.265, 0.765, 0.500], [0.285, 0.000, 0.285], [0.385, 0.613, 0.772], [0.615, 0.387, 0.228], [0.715, 0.000, 0.715], [0.735, 0.235, 0.500], [0.841, 0.613, 0.228]], "sg": "No. 71", "m_tot_mub_per_cell": 0.00}

***

(15)
{"formula": "Ac3Hf5H12", "functional": "GGA-PBE", "state": "optimized geometry", "lattice": [[-6.460, 6.460, 6.460], [6.460, -6.460, 6.460], [6.460, 6.460, -6.460]], "species": ["Ac", "Ac", "Ac", "Ac", "Ac", "Ac", "Ac", "Ac", "Ac", "Ac", "Ac", "Ac", "Hf", "Hf", "Hf", "Hf", "Hf", "Hf", "Hf", "Hf", "Hf", "Hf", "Hf", "Hf", "Hf", "Hf", "Hf", "Hf", "Hf", "Hf", "Hf", "Hf", "H", "H", "H", "H", "H", "H", "H", "H", "H", "H", "H", "H", "H", "H", "H", "H", "H", "H", "H", "H", "H", "H", "H", "H", "H", "H", "H", "H", "H", "H", "H", "H", "H", "H", "H", "H", "H", "H", "H", "H", "H", "H", "H", "H", "H", "H", "H", "H"], "frac_coords": [[0.125, 0.250, 0.375], [0.125, 0.375, 0.750], [0.250, 0.375, 0.125], [0.250, 0.875, 0.625], [0.375, 0.125, 0.250], [0.375, 0.750, 0.125], [0.625, 0.250, 0.875], [0.625, 0.875, 0.750], [0.750, 0.125, 0.375], [0.750, 0.625, 0.875], [0.875, 0.625, 0.250], [0.875, 0.750, 0.625], [0.000, 0.000, 0.000], [0.000, 0.000, 0.500], [0.000, 0.500, 0.000], [0.000, 0.500, 0.500], [0.125, 0.750, 0.875], [0.125, 0.875, 0.250], [0.250, 0.125, 0.875], [0.250, 0.625, 0.375], [0.375, 0.250, 0.625], [0.375, 0.625, 0.750], [0.500, 0.000, 0.000], [0.500, 0.000, 0.500], [0.500, 0.500, 0.000], [0.500, 0.500, 0.500], [0.625, 0.375, 0.250], [0.625, 0.750, 0.375], [0.750, 0.375, 0.625], [0.750, 0.875, 0.125], [0.875, 0.125, 0.750], [0.875, 0.250, 0.125], [0.034, 0.202, 0.121], [0.034, 0.332, 0.913], [0.081, 0.702, 0.668], [0.081, 0.879, 0.413], [0.087, 0.621, 0.419], [0.087, 0.966, 0.668], [0.121, 0.034, 0.202], [0.121, 0.587, 0.919], [0.168, 0.202, 0.581], [0.168, 0.466, 0.587], [0.202, 0.121, 0.034], [0.202, 0.581, 0.168], [0.298, 0.332, 0.919], [0.298, 0.466, 0.379], [0.332, 0.913, 0.034], [0.332, 0.919, 0.298], [0.379, 0.298, 0.466], [0.379, 0.581, 0.913], [0.413, 0.081, 0.879], [0.413, 0.832, 0.534], [0.419, 0.087, 0.621], [0.419, 0.832, 0.798], [0.466, 0.379, 0.298], [0.466, 0.587, 0.168], [0.534, 0.413, 0.832], [0.534, 0.621, 0.702], [0.581, 0.168, 0.202], [0.581, 0.913, 0.379], [0.587, 0.168, 0.466], [0.587, 0.919, 0.121], [0.621, 0.419, 0.087], [0.621, 0.702, 0.534], [0.668, 0.081, 0.702], [0.668, 0.087, 0.966], [0.702, 0.534, 0.621], [0.702, 0.668, 0.081], [0.798, 0.419, 0.832], [0.798, 0.879, 0.966], [0.832, 0.534, 0.413], [0.832, 0.798, 0.419], [0.879, 0.413, 0.081], [0.879, 0.966, 0.798], [0.913, 0.034, 0.332], [0.913, 0.379, 0.581], [0.919, 0.121, 0.587], [0.919, 0.298, 0.332], [0.966, 0.668, 0.087], [0.966, 0.798, 0.879]], "sg": "No. 230", "m_tot_mub_per_cell": 0.00}

***

(16)
{"formula": "Ac2HfH2O6", "functional": "GGA-PBE", "state": "optimized geometry", "lattice": [[2.703, 1.560, 5.137], [-2.703, 1.560, 5.137], [0.000, -3.121, 5.137]], "species": ["Ac", "Ac", "Hf", "H", "H", "O", "O", "O", "O", "O", "O"], "frac_coords": [[0.234, 0.234, 0.234], [0.766, 0.766, 0.766], [0.000, 0.000, 0.000], [0.421, 0.421, 0.421], [0.579, 0.579, 0.579], [0.257, 0.257, 0.730], [0.257, 0.730, 0.257], [0.270, 0.743, 0.743], [0.730, 0.257, 0.257], [0.743, 0.270, 0.743], [0.743, 0.743, 0.270]], "sg": "No. 166", "m_tot_mub_per_cell": 0.00}

***

(17)
{"formula": "Ac2HgH", "functional": "GGA-PBE", "state": "optimized geometry", "lattice": [[2.029, 1.172, 8.042], [-2.029, 1.172, 8.042], [0.000, -2.343, 8.042]], "species": ["Ac", "Ac", "Hg", "H"], "frac_coords": [[0.000, 0.000, 0.000], [0.204, 0.204, 0.204], [0.769, 0.769, 0.769], [0.602, 0.602, 0.602]], "sg": "No. 160", "m_tot_mub_per_cell": 0.00, "e_above_lowest_polymorph_mev_per_atom": 63.3}

***

(18)
{"formula": "Ac2HgH3", "functional": "GGA-PBE", "state": "optimized geometry", "lattice": [[8.219, -2.090, 0.000], [8.219, 2.090, 0.000], [-3.184, 0.000, 7.209]], "species": ["Ac", "Ac", "Ac", "Ac", "Hg", "Hg", "H", "H", "H", "H", "H", "H"], "frac_coords": [[0.029, 0.029, 0.276], [0.294, 0.294, 0.308], [0.706, 0.706, 0.692], [0.971, 0.971, 0.724], [0.379, 0.379, 0.951], [0.621, 0.621, 0.049], [0.100, 0.100, 0.631], [0.197, 0.197, 0.489], [0.434, 0.434, 0.567], [0.566, 0.566, 0.433], [0.803, 0.803, 0.511], [0.900, 0.900, 0.369]], "sg": "No. 12", "m_tot_mub_per_cell": 0.00}

***

(19)
{"formula": "Ac2HgH", "functional": "GGA-PBE", "state": "optimized geometry", "lattice": [[2.025, 1.169, 9.576], [-2.025, 1.169, 9.576], [0.000, -2.339, 9.576]], "species": ["Ac", "Ac", "Hg", "H"], "frac_coords": [[0.080, 0.080, 0.080], [0.920, 0.920, 0.920], [0.500, 0.500, 0.500], [0.000, 0.000, 0.000]], "sg": "No. 166", "m_tot_mub_per_cell": 0.00, "e_above_lowest_polymorph_mev_per_atom": 255.2}

***

(20)
{"formula": "Ac2HgH", "functional": "GGA-PBE", "state": "optimized geometry", "lattice": [[7.427, 0.000, 0.000], [0.000, 8.449, 0.000], [-0.288, 0.000, 7.619]], "species": ["Ac", "Ac", "Ac", "Ac", "Ac", "Ac", "Ac", "Ac", "Hg", "Hg", "Hg", "Hg", "H", "H", "H", "H"], "frac_coords": [[0.085, 0.111, 0.242], [0.085, 0.389, 0.742], [0.385, 0.733, 0.512], [0.385, 0.767, 0.012], [0.615, 0.233, 0.988], [0.615, 0.267, 0.488], [0.915, 0.611, 0.258], [0.915, 0.889, 0.758], [0.317, 0.060, 0.724], [0.317, 0.440, 0.224], [0.683, 0.560, 0.776], [0.683, 0.940, 0.276], [0.063, 0.655, 0.567], [0.063, 0.845, 0.067], [0.937, 0.155, 0.933], [0.937, 0.345, 0.433]], "sg": "No. 14", "m_tot_mub_per_cell": 0.00, "e_above_lowest_polymorph_mev_per_atom": 0.0}

***

(21)
{"formula": "Ac2HgH", "functional": "GGA-PBE", "state": "optimized geometry", "lattice": [[3.772, 0.000, 0.000], [0.000, 3.772, 0.000], [0.000, 0.000, 7.848]], "species": ["Ac", "Ac", "Hg", "H"], "frac_coords": [[0.000, 0.000, 0.232], [0.000, 0.000, 0.768], [0.500, 0.500, 0.500], [0.500, 0.500, 0.000]], "sg": "No. 123", "m_tot_mub_per_cell": 0.15, "e_above_lowest_polymorph_mev_per_atom": 278.2}

***

(22)
{"formula": "AcIn2HgH", "functional": "GGA-PBE", "state": "optimized geometry", "lattice": [[4.929, 0.000, 0.000], [0.000, 4.929, 0.000], [0.000, 0.000, 4.950]], "species": ["Ac", "In", "In", "Hg", "H"], "frac_coords": [[0.000, 0.000, 0.000], [0.000, 0.500, 0.504], [0.500, 0.000, 0.504], [0.500, 0.500, 0.041], [0.000, 0.000, 0.502]], "sg": "No. 99", "m_tot_mub_per_cell": 0.00}

***

Number 1: uncorrected energy -3.924 eV per atom. Number 2: uncorrected energy -2.934 eV per atom. Number 3: uncorrected energy -3.683 eV per atom. Number 4: uncorrected energy -4.057 eV per atom. Number 5: uncorrected energy -3.899 eV per atom. Number 6: uncorrected energy -4.099 eV per atom. Number 7: uncorrected energy -4.017 eV per atom. Number 8: uncorrected energy -4.192 eV per atom. Number 9: uncorrected energy -3.195 eV per atom. Number 10: uncorrected energy -5.580 eV per atom. Number 11: uncorrected energy -4.953 eV per atom. Number 12: uncorrected energy -5.025 eV per atom. Number 13: uncorrected energy -6.569 eV per atom. Number 14: uncorrected energy -4.537 eV per atom. Number 15: uncorrected energy -5.355 eV per atom. Number 16: uncorrected energy -7.437 eV per atom. Number 17: uncorrected energy -3.275 eV per atom. Number 18: uncorrected energy -3.567 eV per atom. Number 19: uncorrected energy -3.083 eV per atom. Number 20: uncorrected energy -3.339 eV per atom. Number 21: uncorrected energy -3.060 eV per atom. Number 22: uncorrected energy -2.872 eV per atom.